Entry 1:
The following is a DFT calculation (PBE) of ZnGeOsO2 after structural relaxation.

```
ZnGeOsO2
1.0
3.645 0.000 0.000
0.000 3.645 0.000
0.000 0.000 5.428
Zn Ge Os O
1 1 1 2
Direct
0.000 0.000 0.000
0.500 0.500 0.500
0.500 0.500 0.000
0.000 0.500 0.500
0.500 0.000 0.500
```

Output
Its crystal system is tetragonal.

Entry 2:
The following is a DFT calculation (PBE) of GePO2 after structural relaxation.

```
GePO2
1.0
2.990 0.000 0.000
-1.495 2.590 0.000
0.000 0.000 19.768
Ge P O
3 3 6
Direct
0.000 0.000 0.000
0.333 0.667 0.667
0.667 0.333 0.333
0.000 0.000 0.500
0.333 0.667 0.167
0.667 0.333 0.833
0.000 0.000 0.110
0.000 0.000 0.890
0.333 0.667 0.556
0.333 0.667 0.777
0.667 0.333 0.223
0.667 0.333 0.444
```

Output
Its crystal system is trigonal.

Entry 3:
The following is a DFT calculation (PBE) of GeP2O6 after structural relaxation.

```
GeP2O6
1.0
2.476 1.430 5.744
-2.476 1.430 5.744
0.000 -2.859 5.744
Ge P O
1 2 6
Direct
0.000 0.000 0.000
0.274 0.274 0.274
0.393 0.393 0.393
0.150 0.334 0.750
0.181 0.992 0.594
0.334 0.750 0.150
0.594 0.181 0.992
0.750 0.150 0.334
0.992 0.594 0.181
```

Output
Its crystal system is trigonal.

Record-wise total magnetic moment values, in μB per formula unit: 1.7; 0.0; 0.0
Record-wise uncorrected formation energy values, in eV/atom: 0.27; -0.47; -1.62